Entry 1:
Compound: Hf4PC2S
Source: OQMD via LeMat-Bulk
Functional: PBE
Structure: relaxed

## Properties
V = 120.48 Å³/cell
uncorrected energy = -77.59 eV/cell

a = 3.3948 Å, b = 3.3948 Å, c = 12.0710 Å
α = 90.00°, β = 90.00°, γ = 120.00°
Last column: nearest neighbours and their distance in Å.
Space group P-6m2 (No. 187)
One atom of each set of equivalent atoms:
Hf: 0.0000 0.0000 0.1469 [2 per cell]  3 C 2.33
Hf: 0.6667 0.3333 0.3505 [2 per cell]  3 C 2.30
P: 0.6667 0.3333 0.0000 [1 per cell]  6 Hf 2.64
C: 0.3333 0.6667 0.2514 [2 per cell]  6 Hf 2.30-2.33
S: 0.0000 0.0000 0.5000 [1 per cell]  6 Hf 2.66

***

Entry 2:
Compound: Hf4SbPC2
Source: OQMD via LeMat-Bulk
Functional: PBE
Structure: relaxed

## Properties
V = 130.51 Å³/cell
uncorrected energy = -75.25 eV/cell

a = 3.4020 Å, b = 3.4020 Å, c = 13.0208 Å
α = 90.00°, β = 90.00°, γ = 120.00°
Last column: nearest neighbours and their distance in Å.
Space group P-6m2 (No. 187)
One atom of each set of equivalent atoms:
Hf: 0.0000 0.0000 0.1355 [2 per cell]  3 C 2.34
Hf: 0.6667 0.3333 0.3244 [2 per cell]  3 C 2.30
Sb: 0.0000 0.0000 0.5000 [1 per cell]  6 Hf 3.01
P: 0.6667 0.3333 0.0000 [1 per cell]  6 Hf 2.64
C: 0.3333 0.6667 0.2326 [2 per cell]  6 Hf 2.30-2.34

***

Entry 3:
Compound: Hf4SiPC2
Source: OQMD via LeMat-Bulk
Functional: PBE
Structure: relaxed

## Properties
V = 123.29 Å³/cell
uncorrected energy = -76.67 eV/cell

a = 3.3497 Å, b = 3.3497 Å, c = 12.6885 Å
α = 90.00°, β = 90.00°, γ = 120.00°
Last column: nearest neighbours and their distance in Å.
Space group P-6m2 (No. 187)
One atom of each set of equivalent atoms:
Hf: 0.0000 0.0000 0.1401 [2 per cell]  3 C 2.32
Hf: 0.6667 0.3333 0.3386 [2 per cell]  3 C 2.30
Si: 0.0000 0.0000 0.5000 [1 per cell]  6 Hf 2.82
P: 0.6667 0.3333 0.0000 [1 per cell]  6 Hf 2.63
C: 0.3333 0.6667 0.2406 [2 per cell]  6 Hf 2.30-2.32

***

Entry 4:
Compound: Hf2Ta4P3C3
Source: OQMD via LeMat-Bulk
Functional: PBE
Structure: relaxed

## Properties
V = 672.84 Å³/cell
uncorrected energy = -488.23 eV/cell

a = 9.9573 Å, b = 5.7514 Å, c = 12.2066 Å
α = 90.00°, β = 105.74°, γ = 90.00°
Last column: nearest neighbours and their distance in Å.
Space group C2/c (No. 15)
One atom of each set of equivalent atoms:
Hf: 0.0475 0.0825 0.3949 [8 per cell]  3 C 2.28-2.29
Ta: 0.1164 0.4151 0.5988 [8 per cell]  3 C 2.24
Ta: 0.2179 0.4174 0.9012 [8 per cell]  3 C 2.24
P: 0.0000 0.4263 0.2500 [4 per cell]  4 Ta 2.60, 2 Hf 2.61
P: 0.1716 0.0881 0.7503 [8 per cell]  4 Ta 2.59, 2 Hf 2.60-2.61
C: 0.0839 0.2520 0.0000 [8 per cell]  4 Ta 2.24, 2 Hf 2.28-2.29
C: 0.2500 0.2500 0.5000 [4 per cell]  4 Ta 2.24, 2 Hf 2.29

***

Entry 5:
Compound: Hf4ZnPC2
Source: OQMD via LeMat-Bulk
Functional: PBE
Structure: relaxed

## Properties
V = 126.86 Å³/cell
uncorrected energy = -71.47 eV/cell

a = 3.3419 Å, b = 3.3419 Å, c = 13.1159 Å
α = 90.00°, β = 90.00°, γ = 120.00°
Last column: nearest neighbours and their distance in Å.
Space group P-6m2 (No. 187)
One atom of each set of equivalent atoms:
Hf: 0.0000 0.0000 0.1369 [2 per cell]  3 C 2.32
Hf: 0.6667 0.3333 0.3286 [2 per cell]  3 C 2.29
Zn: 0.0000 0.0000 0.5000 [1 per cell]  6 Hf 2.96
P: 0.6667 0.3333 0.0000 [1 per cell]  6 Hf 2.64
C: 0.3333 0.6667 0.2347 [2 per cell]  6 Hf 2.29-2.32

***

Entry 6:
Compound: Hf4ZnPC2
Source: OQMD via LeMat-Bulk
Functional: PBE
Structure: relaxed

## Properties
V = 126.85 Å³/cell
uncorrected energy = -71.47 eV/cell

a = 3.3419 Å, b = 3.3419 Å, c = 13.1157 Å
α = 90.00°, β = 90.00°, γ = 120.00°
Last column: nearest neighbours and their distance in Å.
Space group P-6m2 (No. 187)
One atom of each set of equivalent atoms:
Hf: 0.0000 0.0000 0.1369 [2 per cell]  3 C 2.32
Hf: 0.3333 0.6667 0.3286 [2 per cell]  3 C 2.29
Zn: 0.0000 0.0000 0.5000 [1 per cell]  6 Hf 2.96
P: 0.3333 0.6667 0.0000 [1 per cell]  6 Hf 2.64
C: 0.6667 0.3333 0.2347 [2 per cell]  6 Hf 2.29-2.32

***

Entry 7:
Compound: Hf2PbC
Source: OQMD via LeMat-Bulk
Functional: PBE
Structure: relaxed

## Properties
V = 145.39 Å³/cell
uncorrected energy = -70.72 eV/cell

a = 3.3769 Å, b = 3.3769 Å, c = 14.7217 Å
α = 90.00°, β = 90.00°, γ = 120.00°
Last column: nearest neighbours and their distance in Å.
Space group P6_3/mmc (No. 194)
One atom of each set of equivalent atoms:
Hf: 0.3333 0.6667 0.0811 [4 per cell]  3 C 2.29
Pb: 0.3333 0.6667 0.7500 [2 per cell]  6 Hf 3.16, 6 Pb 3.38
C: 0.0000 0.0000 0.0000 [2 per cell]  6 Hf 2.29

***

Entry 8:
Compound: Hf4SbPbC2
Source: OQMD via LeMat-Bulk
Functional: PBE
Structure: relaxed

## Properties
V = 142.55 Å³/cell
uncorrected energy = -71.60 eV/cell

a = 3.3949 Å, b = 3.3949 Å, c = 14.2816 Å
α = 90.00°, β = 90.00°, γ = 120.00°
Last column: nearest neighbours and their distance in Å.
Space group P-6m2 (No. 187)
One atom of each set of equivalent atoms:
Hf: 0.0000 0.0000 0.1587 [2 per cell]  3 C 2.31
Hf: 0.6667 0.3333 0.3264 [2 per cell]  3 C 2.29
Sb: 0.6667 0.3333 0.0000 [1 per cell]  6 Hf 3.00
Pb: 0.0000 0.0000 0.5000 [1 per cell]  6 Hf 3.16, 6 Pb 3.39
C: 0.3333 0.6667 0.2437 [2 per cell]  6 Hf 2.29-2.31